No. 1
A plane-wave DFT calculation with PBE was carried out for a relaxed structure of BC3Se.

a b c (Å): 3.8493 3.8493 3.8493
angles (deg): 90.00 90.00 90.00
Closest atoms and distances in Å follow each position.
Fractional positions:
1 B 0.0000 0.0000 0.0000  12 C 2.72
2 C 0.0000 0.5000 0.5000  2 Se 1.92
3 C 0.5000 0.0000 0.5000  2 Se 1.92
4 C 0.5000 0.5000 0.0000  2 Se 1.92
5 Se 0.5000 0.5000 0.5000  6 C 1.92

Computed properties:
Crystal system ... cubic
Formation energy from raw total energies ... 3.67 eV per atom
Space-group type ... Pm-3m (221)



No. 2
A plane-wave DFT calculation with PBE was carried out for a relaxed structure of Sc2InIN.

a b c (Å): 4.4193 4.4193 6.1867
angles (deg): 90.00 90.00 90.00
Closest atoms and distances in Å follow each position.
Fractional positions:
1 Sc 0.0000 0.5000 0.0000  2 N 2.21
2 Sc 0.5000 0.0000 0.0000  2 N 2.21
3 In 0.0000 0.0000 0.5000  2 N 3.09, 4 I 3.12
4 I 0.5000 0.5000 0.5000  4 In 3.12
5 N 0.0000 0.0000 0.0000  4 Sc 2.21

Computed properties:
Crystal system ... tetragonal
Formation energy from raw total energies ... -0.29 eV per atom
Space-group type ... P4/mmm (123)



No. 3
A plane-wave DFT calculation with PBE was carried out for a relaxed structure of La3ThPa2N6.

a b c (Å): 6.2865 6.2865 6.3486
angles (deg): 99.49 99.49 119.97
Closest atoms and distances in Å follow each position.
Fractional positions:
1 La 0.0000 0.0000 0.0000  6 N 2.66-2.78
2 La 0.3336 0.6664 0.0000  6 N 2.66-2.79
3 La 0.6664 0.3336 0.0000  6 N 2.66-2.79
4 Th 0.5000 0.5000 0.5000  6 N 2.52-2.53
5 Pa 0.1667 0.8333 0.5000  6 N 2.38-2.39
6 Pa 0.8333 0.1667 0.5000  6 N 2.38-2.39
7 N 0.0808 0.4310 0.2932  2 Pa 2.39, 1 Th 2.53, 1 La 2.66
8 N 0.2177 0.2177 0.7040  2 Pa 2.38, 1 Th 2.52, 1 La 2.66
9 N 0.4310 0.0808 0.2932  2 Pa 2.39, 1 Th 2.53, 1 La 2.66
10 N 0.5690 0.9192 0.7068  2 Pa 2.39, 1 Th 2.53, 1 La 2.66
11 N 0.7823 0.7823 0.2960  2 Pa 2.38, 1 Th 2.52, 1 La 2.66
12 N 0.9192 0.5690 0.7068  2 Pa 2.39, 1 Th 2.53, 1 La 2.66

Computed properties:
Crystal system ... monoclinic
Formation energy from raw total energies ... -1.56 eV per atom
Space-group type ... C2/m (12)



No. 4
A plane-wave DFT calculation with PBE was carried out for a relaxed structure of Cs3PuI8.

a b c (Å): 10.5552 10.5552 10.5552
angles (deg): 131.23 131.23 71.45
Closest atoms and distances in Å follow each position.
Fractional positions:
1 Cs 0.0000 0.0000 0.0000  8 I 3.98
2 Cs 0.2500 0.7500 0.5000  8 I 3.94
3 Cs 0.7500 0.2500 0.5000  8 I 3.94
4 Pu 0.5000 0.5000 0.0000  8 I 3.24
5 I 0.1762 0.1762 0.5703  1 Pu 3.24
6 I 0.1762 0.6059 0.0000  1 Pu 3.24
7 I 0.3941 0.3941 0.5703  1 Pu 3.24
8 I 0.3941 0.8238 0.0000  1 Pu 3.24
9 I 0.6059 0.1762 0.0000  1 Pu 3.24
10 I 0.6059 0.6059 0.4297  1 Pu 3.24
11 I 0.8238 0.3941 0.0000  1 Pu 3.24
12 I 0.8238 0.8238 0.4297  1 Pu 3.24

Computed properties:
Crystal system ... tetragonal
Formation energy from raw total energies ... -1.03 eV per atom
Space-group type ... I4/mmm (139)



No. 5
A plane-wave DFT calculation with PBE was carried out for a relaxed structure of Cs2SrAg2Cl6.

a b c (Å): 8.0106 8.0106 8.1128
angles (deg): 115.27 115.27 58.97
Closest atoms and distances in Å follow each position.
Fractional positions:
1 Cs 0.2297 0.2297 0.1939  5 Cl 3.51-3.63
2 Cs 0.7703 0.7703 0.8061  5 Cl 3.51-3.63
3 Sr 0.0000 0.0000 0.5000  6 Cl 2.89-2.90
4 Ag 0.4386 0.4386 0.7858  3 Cl 2.49-2.53
5 Ag 0.5614 0.5614 0.2142  3 Cl 2.49-2.53
6 Cl 0.1925 0.7039 0.2000  1 Ag 2.53
7 Cl 0.2342 0.2342 0.6336  1 Ag 2.49
8 Cl 0.2961 0.8075 0.8000  1 Ag 2.53
9 Cl 0.7039 0.1925 0.2000  1 Ag 2.53
10 Cl 0.7658 0.7658 0.3664  1 Ag 2.49
11 Cl 0.8075 0.2961 0.8000  1 Ag 2.53

Computed properties:
Crystal system ... monoclinic
Formation energy from raw total energies ... -1.56 eV per atom
Space-group type ... C2/m (12)



No. 6
A plane-wave DFT calculation with PBE was carried out for a relaxed structure of Na2HfCd.

a b c (Å): 8.5407 8.5407 5.9166
angles (deg): 90.00 90.00 90.00
Closest atoms and distances in Å follow each position.
Fractional positions:
1 Na 0.2203 0.2500 0.1250  2 Cd 2.94, 2 Na 3.00, 2 Hf 3.29
2 Na 0.2500 0.7203 0.3750  2 Cd 2.94, 2 Na 3.00, 2 Hf 3.29
3 Na 0.2500 0.7797 0.8750  2 Cd 2.94, 2 Na 3.00, 2 Hf 3.29
4 Na 0.2797 0.2500 0.6250  2 Cd 2.94, 2 Na 3.00, 2 Hf 3.29
5 Na 0.7203 0.7500 0.6250  2 Cd 2.94, 2 Na 3.00, 2 Hf 3.29
6 Na 0.7500 0.2203 0.8750  2 Cd 2.94, 2 Na 3.00, 2 Hf 3.29
7 Na 0.7500 0.2797 0.3750  2 Cd 2.94, 2 Na 3.00, 2 Hf 3.29
8 Na 0.7797 0.7500 0.1250  2 Cd 2.94, 2 Na 3.00, 2 Hf 3.29
9 Hf 0.0000 0.0000 0.5000  2 Cd 2.96, 4 Na 3.29
10 Hf 0.0000 0.5000 0.7500  2 Cd 2.96, 4 Na 3.29
11 Hf 0.5000 0.0000 0.2500  2 Cd 2.96, 4 Na 3.29
12 Hf 0.5000 0.5000 0.0000  2 Cd 2.96, 4 Na 3.29
13 Cd 0.0000 0.0000 0.0000  4 Na 2.94, 2 Hf 2.96
14 Cd 0.0000 0.5000 0.2500  4 Na 2.94, 2 Hf 2.96
15 Cd 0.5000 0.0000 0.7500  4 Na 2.94, 2 Hf 2.96
16 Cd 0.5000 0.5000 0.5000  4 Na 2.94, 2 Hf 2.96

Computed properties:
Crystal system ... tetragonal
Space-group type ... I-42d (122)
Formation enthalpy at 0 K ... 0.7706 eV/atom